Record 1
# ZrCuIr (PBE, optimized geometry)
data_ZrCuIr
_chemical_formula_sum 'Zr4 Cu4 Ir4'
_space_group_name_H-M_alt 'C m c m'
_space_group_IT_number 63
_space_group_name_Hall '-C 2c 2'
_cell_length_a 4.235
_cell_length_b 9.240
_cell_length_c 5.135
_cell_angle_alpha 90.00
_cell_angle_beta 90.00
_cell_angle_gamma 90.00
loop_
_atom_site_label
_atom_site_fract_x
_atom_site_fract_y
_atom_site_fract_z
Zr1 0.000 0.212 0.250
Cu1 0.000 0.500 0.000
Ir1 0.000 0.099 0.750
# Energy above the most stable polymorph in this dataset: 0 meV per atom
# Crystal system: orthorhombic
# Final energy: -93.0 eV for the cell shown
# Energy of formation: -585 meV per atom
# Volume: 16.75 A^3/atom
# Magnetization: 0.0 μB/cell

***

Record 2
# ZrCuIr2 (PBE, optimized geometry)
data_ZrCuIr2
_chemical_formula_sum 'Zr1 Cu1 Ir2'
_space_group_name_H-M_alt 'P 4 m m'
_space_group_IT_number 99
_cell_length_a 2.823
_cell_length_b 2.823
_cell_length_c 7.837
_cell_angle_alpha 90.00
_cell_angle_beta 90.00
_cell_angle_gamma 90.00
loop_
_space_group_symop_operation_xyz
'x,y,z'
'-y,x,z'
'-x,-y,z'
'y,-x,z'
'-x,y,z'
'y,x,z'
'x,-y,z'
'-y,-x,z'
loop_
_atom_site_label
_atom_site_fract_x
_atom_site_fract_y
_atom_site_fract_z
Zr1 0.000 0.000 0.000
Cu1 0.500 0.500 0.260
Ir1 0.000 0.000 0.487
Ir2 0.500 0.500 0.718
# Crystal system: tetragonal
# Final energy: -30.6 eV for the cell shown
# Energy of formation: -68 meV per atom
# Volume: 15.62 A^3/atom
# Magnetization: 0.0 μB/cell